(1)
VASP calculation (PBE) on a geometry-optimized MgZrH2Au structure.

Values from the calculation:
Symmetry: No. 123
ρ, g/cm3: 5.446
Calculated total energy, eV per atom: -3.5608
V, Å³ per cell: 96

Unit cell a=3.8453 b=6.4852 c=3.8453 alpha=90.00 beta=90.00 gamma=90.00
With the nearest neighbours (Å) after each atom.
Fractional coordinates of all 5 atoms:
H: 0.0000 0.0000 0.5000  2 Mg 1.92
H: 0.5000 0.0000 0.0000  2 Mg 1.92
Mg: 0.0000 0.0000 0.0000  4 H 1.92
Au: 0.5000 0.5000 0.5000  4 Zr 2.72
Zr: 0.0000 0.5000 0.0000  4 Au 2.72

(2)
VASP calculation (PBE) on a geometry-optimized NpUPt2 structure.

Values from the calculation:
Symmetry: No. 216
Excess energy over the best structure of this formula in the dataset, eV per atom: 0.000
E_form, kJ/mol of formula units: -275
ρ, g/cm3: 19.233
Calculated total energy, eV per atom: -9.7909
V, Å³ per cell: 75

Unit cell a=4.7267 b=4.7267 c=4.7267 alpha=90.04 beta=119.98 gamma=119.98
With the nearest neighbours (Å) after each atom.
Fractional coordinates of all 4 atoms:
Np: 0.1250 0.3125 0.4375  4 Pt 2.89, 4 U 2.89
U: 0.6250 0.5625 0.1875  4 Pt 2.89-2.90, 4 Np 2.89
Pt: 0.1250 0.8125 0.9375  4 U 2.89-2.90, 4 Pt 2.89
Pt: 0.6250 0.0625 0.6875  4 Np 2.89, 4 Pt 2.89

(3)
VASP calculation (PBE) on a geometry-optimized LiSi3Pt3 structure.

Values from the calculation:
Symmetry: No. 223
Energy relative to the elements, uncorrected, eV per atom: -0.42
ρ, g/cm3: 7.630
Calculated total energy, eV per atom: -5.6080
V, Å³ per cell: 294

Unit cell a=6.6527 b=6.6527 c=6.6527 alpha=90.00 beta=90.00 gamma=90.00
With the nearest neighbours (Å) after each atom.
Fractional coordinates of all 14 atoms:
Si: 0.2500 0.0000 0.5000  4 Pt 2.35
Si: 0.0000 0.5000 0.2500  4 Pt 2.35
Si: 0.5000 0.7500 0.0000  4 Pt 2.35
Si: 0.7500 0.0000 0.5000  4 Pt 2.35
Si: 0.0000 0.5000 0.7500  4 Pt 2.35
Si: 0.5000 0.2500 0.0000  4 Pt 2.35
Pt: 0.0000 0.2500 0.5000  4 Si 2.35
Pt: 0.0000 0.7500 0.5000  4 Si 2.35
Pt: 0.5000 0.0000 0.7500  4 Si 2.35
Pt: 0.7500 0.5000 0.0000  4 Si 2.35
Pt: 0.5000 0.0000 0.2500  4 Si 2.35
Pt: 0.2500 0.5000 0.0000  4 Si 2.35
Li: 0.5000 0.5000 0.5000  12 Pt 3.72, 12 Si 3.72
Li: 0.0000 0.0000 0.0000  12 Pt 3.72, 12 Si 3.72

(4)
VASP calculation (PBE) on a geometry-optimized La2CdSbRu structure.

Values from the calculation:
Symmetry: No. 123
Energy relative to the elements, uncorrected, eV per atom: -0.45
ρ, g/cm3: 6.852
Calculated total energy, eV per atom: -5.2851
V, Å³ per cell: 149

Unit cell a=5.3573 b=5.3573 c=5.1768 alpha=90.00 beta=90.00 gamma=90.00
With the nearest neighbours (Å) after each atom.
Fractional coordinates of all 5 atoms:
Sb: 0.5000 0.5000 0.5000  8 La 3.72, 4 Cd 3.79
Cd: 0.0000 0.0000 0.5000  2 Ru 2.59
Ru: 0.0000 0.0000 0.0000  2 Cd 2.59, 4 La 2.68
La: 0.0000 0.5000 0.0000  2 Ru 2.68
La: 0.5000 0.0000 0.0000  2 Ru 2.68

(5)
VASP calculation (PBE) on a geometry-optimized BaAl4Ir structure.

Values from the calculation:
Symmetry: No. 216
E_form, kJ/mol of formula units: 128
ρ, g/cm3: 5.936
Calculated total energy, eV per atom: -4.0707
V, Å³ per cell: 122

Unit cell a=5.5726 b=5.5726 c=5.5726 alpha=60.00 beta=60.00 gamma=60.00
With the nearest neighbours (Å) after each atom.
Fractional coordinates of all 6 atoms:
Ba: 0.7500 0.7500 0.7500  12 Al 3.27, 4 Ir 3.41
Al: 0.8782 0.3739 0.3739  6 Al 2.76-2.81
Al: 0.3739 0.3739 0.8782  6 Al 2.76-2.81
Al: 0.3739 0.8782 0.3739  6 Al 2.76-2.81
Al: 0.3739 0.3739 0.3739  6 Al 2.76-2.81
Ir: 0.0000 0.0000 0.0000  12 Al 3.26, 4 Ba 3.41

(6)
VASP calculation (PBE) on a geometry-optimized Sm8GeRh3I4 structure.

Values from the calculation:
Symmetry: No. 166
Energy relative to the elements, uncorrected, eV per atom: -0.91
ρ, g/cm3: 7.119
Calculated total energy, eV per atom: -5.3245
V, Å³ per cell: 488

Unit cell a=8.4266 b=9.3092 c=8.4266 alpha=116.93 beta=120.00 gamma=90.00
With the nearest neighbours (Å) after each atom.
Fractional coordinates of all 16 atoms:
Sm: 0.2351 0.6850 0.9502  2 Rh 2.80, 1 Ge 2.92
Sm: 0.2351 0.6849 0.4701  2 Rh 2.80, 1 Ge 2.93
Sm: 0.2703 0.3112 0.5405  3 Rh 2.86
Sm: 0.7151 0.6850 0.9502  2 Rh 2.80, 1 Ge 2.92
Sm: 0.2849 0.3150 0.0498  2 Rh 2.80, 1 Ge 2.92
Sm: 0.7297 0.6888 0.4595  3 Rh 2.86
Sm: 0.7649 0.3151 0.5299  2 Rh 2.80, 1 Ge 2.93
Sm: 0.7649 0.3150 0.0498  2 Rh 2.80, 1 Ge 2.92
Ge: 0.0000 0.5000 0.0000  6 Sm 2.92-2.93
Rh: 0.5000 0.5000 0.0000  6 Sm 2.80-2.86
Rh: 0.5000 0.5000 0.5000  6 Sm 2.80-2.86
Rh: 0.0000 0.5000 0.5000  6 Sm 2.80-2.86
I: 0.5000 0.0000 0.0000  6 Sm 3.42
I: 0.5000 0.0000 0.5000  6 Sm 3.47-3.52
I: 0.0000 0.0000 0.0000  6 Sm 3.46-3.52
I: 0.0000 0.0000 0.5000  6 Sm 3.47-3.52

(7)
VASP calculation (PBE) on a geometry-optimized MgZr3Ni8 structure.

Values from the calculation:
Symmetry: No. 160
E_form, kJ/mol of formula units: -491
ρ, g/cm3: 7.665
Calculated total energy, eV per atom: -6.5483
V, Å³ per cell: 166

Unit cell a=4.8917 b=4.8917 c=8.5063 alpha=73.29 beta=73.29 gamma=60.00
With the nearest neighbours (Å) after each atom.
Fractional coordinates of all 12 atoms:
Mg: 0.8717 0.8717 0.3849  12 Ni 2.83-2.92, 4 Zr 2.94-2.95
Zr: 0.3783 0.3783 0.8651  12 Ni 2.82-2.93, 4 Zr 3.05-3.08
Zr: 0.9942 0.9942 0.0175  12 Ni 2.79-2.98, 1 Mg 2.95, 3 Zr 3.08
Zr: 0.5049 0.5049 0.4854  12 Ni 2.80-2.94, 3 Mg 2.94, 1 Zr 3.05
Ni: 0.9411 0.4366 0.1856  6 Ni 2.42-2.47
Ni: 0.4350 0.9377 0.6895  6 Ni 2.43-2.47
Ni: 0.4366 0.4366 0.1856  6 Ni 2.42-2.47
Ni: 0.9377 0.9377 0.6895  6 Ni 2.43-2.47
Ni: 0.1881 0.1881 0.4358  6 Ni 2.45-2.47
Ni: 0.6880 0.6880 0.9361  6 Ni 2.44-2.46
Ni: 0.4366 0.9411 0.1856  6 Ni 2.42-2.47
Ni: 0.9377 0.4350 0.6895  6 Ni 2.43-2.47

(8)
VASP calculation (PBE) on a geometry-optimized NaAcN structure.

Values from the calculation:
Symmetry: No. 11
Excess energy over the best structure of this formula in the dataset, eV per atom: 0.000
Energy relative to the elements, uncorrected, eV per atom: -0.60
ρ, g/cm3: 5.312
Calculated total energy, eV per atom: -5.1864
V, Å³ per cell: 165

Unit cell a=4.0538 b=5.0965 c=7.9898 alpha=90.00 beta=90.55 gamma=90.00
With the nearest neighbours (Å) after each atom.
Fractional coordinates of all 6 atoms:
Na: 0.8140 0.1335 0.4419  2 N 3.17-3.20
Na: 0.3132 0.6335 0.7188  2 N 3.17-3.20
Ac: 0.8118 0.1335 0.9569  4 N 2.47-2.61
Ac: 0.3153 0.6335 0.2039  4 N 2.47-2.61
N: 0.8123 0.6335 0.0266  4 Ac 2.47-2.61
N: 0.3149 0.1336 0.1342  4 Ac 2.47-2.61

(9)
VASP calculation (PBE) on a geometry-optimized SrScTe2I structure.

Values from the calculation:
Symmetry: No. 123
Excess energy over the best structure of this formula in the dataset, eV per atom: 1.015
Energy relative to the elements, uncorrected, eV per atom: -0.11
ρ, g/cm3: 3.794
Calculated total energy, eV per atom: -3.2745
V, Å³ per cell: 225

Unit cell a=6.1243 b=6.1243 c=6.0053 alpha=90.00 beta=90.00 gamma=90.00
With the nearest neighbours (Å) after each atom.
Fractional coordinates of all 5 atoms:
I: 0.0000 0.0000 0.5000  2 Sr 3.00
Sr: 0.0000 0.0000 0.0000  2 I 3.00, 4 Te 3.06
Te: 0.0000 0.5000 0.0000  2 Sr 3.06
Te: 0.5000 0.0000 0.0000  2 Sr 3.06
Sc: 0.5000 0.5000 0.5000  8 Te 4.29, 4 I 4.33

(10)
VASP calculation (PBE) on a geometry-optimized CsAgGe2 structure.

Values from the calculation:
Symmetry: No. 141
Excess energy over the best structure of this formula in the dataset, eV per atom: 0.175
E_form, kJ/mol of formula units: 67
ρ, g/cm3: 4.802
Calculated total energy, eV per atom: -3.0620
V, Å³ per cell: 267

Unit cell a=5.3252 b=5.3252 c=10.1410 alpha=74.78 beta=74.78 gamma=90.00
With the nearest neighbours (Å) after each atom.
Fractional coordinates of all 8 atoms:
Cs: 0.0000 0.0000 0.0000  4 Ag 3.77, 8 Ge 3.80
Cs: 0.7500 0.2500 0.5000  4 Ag 3.77, 8 Ge 3.80
Ge: 0.3750 0.1250 0.2500  2 Ge 2.66, 2 Ag 2.70
Ge: 0.3750 0.6250 0.2500  2 Ge 2.66, 2 Ag 2.70
Ge: 0.3750 0.6250 0.7500  2 Ge 2.66, 2 Ag 2.70
Ge: 0.8750 0.6250 0.7500  2 Ge 2.66, 2 Ag 2.70
Ag: 0.5000 0.5000 0.0000  4 Ge 2.70
Ag: 0.2500 0.7500 0.5000  4 Ge 2.70

Record-wise total magnetic moment values, in μB per cell: 0.815; 5.052; 0.000; 0.000; 0.000; 0.000; 0.000; 0.000; 0.498; 0.000